DFT (PBE-GGA) results for a geometry-optimized MoBr2Cl2 structure.

Cell lengths 12.6368, 6.9290, 8.4561 Å; angles 90.00, 130.13, 90.00 degrees
With the nearest neighbours (Å) after each atom.
Space group C2/m (No. 12)
One atom of each set of equivalent atoms:
1 Mo 0.0000 0.2093 0.0000 x4  2 Cl 2.32, 2 Br 2.52
2 Br 0.1794 0.5000 0.1560 x4  2 Mo 2.66
3 Br 0.2119 0.0000 0.1837 x4  2 Mo 2.52
4 Cl 0.0204 0.2355 0.2918 x8  1 Mo 2.32

Properties
* E: -21.25 eV per formula unit
* V: 28.3 Å³/atom